1.
DFT (PBE) results for a geometry-optimized BaCu4Pt structure.

## Properties
crystal system: cubic
energy: -4.03 eV per atom
theoretical density: 9.568 g/cm3
calculated formation energy: 25 meV/atom

Cell: 5.241 5.241 5.241 Å, 60.00 60.00 60.00°
Sites, in units of the cell vectors:
Cu 0.377 0.868 0.377
Cu 0.377 0.377 0.868
Cu 0.868 0.377 0.377
Cu 0.377 0.377 0.377
Pt 0.750 0.750 0.750
Ba 0.000 0.000 0.000



2.
DFT (PBE) results for a geometry-optimized Ba3CuPt structure.

## Properties
crystal system: cubic
energy: -3.31 eV per atom
theoretical density: 4.796 g/cm3
calculated formation energy: -128 meV/atom
energy above the most stable polymorph in this dataset: 0.000 eV/atom

Cell: 6.146 6.146 6.146 Å, 90.00 90.00 90.00°
Sites, in units of the cell vectors:
Pt 0.000 0.000 0.000
Ba 0.000 0.000 0.500
Ba 0.000 0.500 0.000
Ba 0.500 0.000 0.000
Cu 0.500 0.500 0.500



3.
DFT (PBE) results for a geometry-optimized BaCu2Pt structure.

## Properties
crystal system: orthorhombic
energy: -3.97 eV per atom
theoretical density: 9.515 g/cm3
calculated formation energy: 68 meV/atom
energy above the most stable polymorph in this dataset: 0.398 eV/atom

Cell: 3.142 3.752 6.802 Å, 90.00 90.00 90.00°
Sites, in units of the cell vectors:
Pt 0.500 0.500 0.250
Ba 0.500 0.500 0.750
Cu 0.000 0.000 0.422
Cu 0.000 0.000 0.078



4.
DFT (PBE) results for a geometry-optimized Ba6CuPt2 structure.

## Properties
crystal system: monoclinic
energy: -3.50 eV per atom
theoretical density: 4.983 g/cm3
calculated formation energy: -420 meV/atom

Cell: 4.667 9.285 10.332 Å, 102.19 103.05 90.00°
Sites, in units of the cell vectors:
Ba 0.993 0.754 0.986
Ba 0.335 0.898 0.669
Ba 0.328 0.433 0.656
Ba 0.672 0.567 0.344
Ba 0.665 0.102 0.331
Ba 0.007 0.246 0.014
Pt 0.834 0.669 0.668
Pt 0.166 0.331 0.332
Cu 0.500 0.000 0.000